A geometry-optimized SrTePPt2 structure, computed with PBE.

Output
raw formation energy = 1392 meV/atom
total moment = 0.000 μB per cell
electronic total energy = -3.0714 eV/atom

Unit cell a=5.2140 b=5.2140 c=5.3976 alpha=90.00 beta=90.00 gamma=90.00
Space group P4/mmm (No. 123)
Symmetry-distinct sites (fractional):
Sr (0.0000, 0.0000, 0.0000) x1
Te (0.5000, 0.5000, 0.5000) x1
P (0.0000, 0.0000, 0.5000) x1
Pt (0.0000, 0.5000, 0.0000) x2